No. 1
## TiInNiPt (PBE-GGA)

Data for a geometry-optimized TiInNiPt structure.

The structure belongs to space group F-43m (No. 216); the cell edges are 6.329, 6.329 and 6.329 Å and the angles 90.00°, 90.00° and 90.00°. The asymmetric unit holds Ti at (0.000, 0.000, 0.000), In at (0.000, 0.000, 0.500), Ni at (0.250, 0.250, 0.750) and Pt at (0.250, 0.250, 0.250).

The formation energy is -2.035 eV per formula unit. For the magnetization, the calculation gives 0.00 μB/f.u. The crystal system is cubic.

***

No. 2
## TlIn2NiPt (PBE-GGA)

Data for a geometry-optimized TlIn2NiPt structure.

The structure belongs to space group P4/mmm (No. 123); the cell edges are 5.168, 5.168 and 5.253 Å and the angles 90.00°, 90.00° and 90.00°. The asymmetric unit holds Tl at (0.000, 0.000, 0.000), In at (0.000, 0.500, 0.500), Ni at (0.500, 0.500, 0.000) and Pt at (0.000, 0.000, 0.500).

The formation energy is 2.169 eV per formula unit. For the magnetization, the calculation gives 0.68 μB/f.u. The crystal system is tetragonal.

***

No. 3
## TlZnInNiPt (PBE-GGA)

Data for a geometry-optimized TlZnInNiPt structure.

The structure belongs to space group P1 (No. 1); the cell edges are 4.110, 5.256 and 5.376 Å and the angles 61.29°, 68.24° and 67.72°. The asymmetric unit holds Tl at (0.000, 0.000, 0.000), Zn at (0.195, 0.326, 0.283), In at (0.393, 0.603, 0.608), Ni at (0.701, 0.561, 0.037) and Pt at (0.698, 0.041, 0.559).

The formation energy is -0.881 eV per formula unit. For the magnetization, the calculation gives 0.00 μB/f.u. The calculation puts the energy relative to the lowest polymorph listed for this composition at 0.00 eV per formula unit. The crystal system is triclinic.

***

No. 4
## TlZnInNiPt (PBE-GGA)

Data for a geometry-optimized TlZnInNiPt structure.

The structure belongs to space group Pmm2 (No. 25); the cell edges are 3.681, 3.743 and 6.950 Å and the angles 90.00°, 90.00° and 90.00°. The asymmetric unit holds Tl at (0.000, 0.000, 0.000), Zn at (0.000, 0.500, 0.663), In at (0.500, 0.500, 0.336), Ni at (0.000, 0.000, 0.379) and Pt at (0.500, 0.000, 0.672).

The formation energy is -0.675 eV per formula unit. For the magnetization, the calculation gives 0.00 μB/f.u. The calculation puts the energy relative to the lowest polymorph listed for this composition at 0.21 eV per formula unit. The crystal system is orthorhombic.

***

No. 5
## TlZnInNiPt (PBE-GGA)

Data for a geometry-optimized TlZnInNiPt structure.

The structure belongs to space group P1 (No. 1); the cell edges are 3.504, 4.850 and 6.746 Å and the angles 104.70°, 90.21° and 110.92°. The asymmetric unit holds Tl at (0.000, 0.000, 0.000), Zn at (0.818, 0.622, 0.348), In at (0.194, 0.376, 0.665), Ni at (0.300, 0.587, 0.062) and Pt at (0.538, 0.065, 0.376).

The formation energy is -0.264 eV per formula unit. For the magnetization, the calculation gives 0.00 μB/f.u. The calculation puts the energy relative to the lowest polymorph listed for this composition at 0.62 eV per formula unit. The crystal system is triclinic.

***

No. 6
## TlZnInNiPt (PBE-GGA)

Data for a geometry-optimized TlZnInNiPt structure.

The structure belongs to space group P1 (No. 1); the cell edges are 2.999, 5.303 and 6.489 Å and the angles 71.09°, 76.74° and 73.95°. The asymmetric unit holds Tl at (0.000, 0.000, 0.000), Zn at (0.675, 0.465, 0.184), In at (0.783, 0.876, 0.553), Ni at (0.324, 0.498, 0.852) and Pt at (0.059, 0.345, 0.537).

The formation energy is -0.472 eV per formula unit. For the magnetization, the calculation gives 0.00 μB/f.u. The calculation puts the energy relative to the lowest polymorph listed for this composition at 0.41 eV per formula unit. The crystal system is triclinic.

***

No. 7
## TlZnInNiPt (PBE-GGA)

Data for a geometry-optimized TlZnInNiPt structure.

The structure belongs to space group P3m1 (No. 156); the cell edges are 4.3729, 4.3729 and 5.6320 Å and the angles 90.00°, 90.00° and 120.00°. The asymmetric unit holds Tl at (0.0000, 0.0000, 0.0000), Zn at (0.3333, 0.6667, 0.3498), In at (0.6667, 0.3333, 0.7020), Ni at (0.6667, 0.3333, 0.2197) and Pt at (0.0000, 0.0000, 0.4872).

The formation energy is -0.817 eV per formula unit. For the magnetization, the calculation gives 0.00 μB/f.u. The calculation puts the energy relative to the lowest polymorph listed for this composition at 0.06 eV per formula unit. The crystal system is trigonal.

***

No. 8
## TlZnInNiPt (PBE-GGA)

Data for a geometry-optimized TlZnInNiPt structure.

The structure belongs to space group P1 (No. 1); the cell edges are 3.029, 3.873 and 8.795 Å and the angles 91.01°, 99.80° and 90.01°. The asymmetric unit holds Tl at (0.000, 0.000, 0.000), Zn at (0.825, 0.264, 0.646), In at (0.170, 0.250, 0.333), Ni at (0.735, 0.749, 0.463) and Pt at (0.367, 0.768, 0.731).

The formation energy is -0.354 eV per formula unit. For the magnetization, the calculation gives 0.00 μB/f.u. The calculation puts the energy relative to the lowest polymorph listed for this composition at 0.53 eV per formula unit. The crystal system is triclinic.

***

No. 9
## TlZnInNiPt (PBE-GGA)

Data for a geometry-optimized TlZnInNiPt structure.

The structure belongs to space group Pm (No. 6); the cell edges are 3.951, 3.705 and 6.932 Å and the angles 90.00°, 106.67° and 90.00°. The asymmetric unit holds Tl at (0.000, 0.000, 0.000), Zn at (0.377, 0.500, 0.752), In at (0.725, 0.000, 0.450), Ni at (0.557, 0.500, 0.113) and Pt at (0.188, 0.500, 0.377).

The formation energy is -0.404 eV per formula unit. For the magnetization, the calculation gives 0.00 μB/f.u. The calculation puts the energy relative to the lowest polymorph listed for this composition at 0.48 eV per formula unit. The crystal system is monoclinic.

***

No. 10
## TlZnInNiPt (PBE-GGA)

Data for a geometry-optimized TlZnInNiPt structure.

The structure belongs to space group Pm (No. 6); the cell edges are 4.893, 4.210 and 5.120 Å and the angles 90.00°, 108.75° and 90.00°. The asymmetric unit holds Tl at (0.000, 0.000, 0.000), Zn at (0.430, 0.000, 0.576), In at (0.590, 0.500, 0.233), Ni at (0.887, 0.000, 0.462) and Pt at (0.186, 0.500, 0.702).

The formation energy is -0.366 eV per formula unit. For the magnetization, the calculation gives 0.00 μB/f.u. The calculation puts the energy relative to the lowest polymorph listed for this composition at 0.52 eV per formula unit. The crystal system is monoclinic.

***

No. 11
## TlZnInNiPt (PBE-GGA)

Data for a geometry-optimized TlZnInNiPt structure.

The structure belongs to space group P1 (No. 1); the cell edges are 3.051, 5.060 and 7.076 Å and the angles 109.45°, 90.01° and 107.29°. The asymmetric unit holds Tl at (0.000, 0.000, 0.000), Zn at (0.616, 0.223, 0.679), In at (0.821, 0.637, 0.308), Ni at (0.266, 0.528, 0.982) and Pt at (0.321, 0.638, 0.626).

The formation energy is -0.345 eV per formula unit. For the magnetization, the calculation gives 0.00 μB/f.u. The calculation puts the energy relative to the lowest polymorph listed for this composition at 0.54 eV per formula unit. The crystal system is triclinic.

***

No. 12
## TlZnInNiPt (PBE-GGA)

Data for a geometry-optimized TlZnInNiPt structure.

The structure belongs to space group Pm (No. 6); the cell edges are 3.010, 4.460 and 7.119 Å and the angles 90.00°, 102.37° and 90.00°. The asymmetric unit holds Tl at (0.000, 0.000, 0.000), Zn at (0.688, 0.000, 0.373), In at (0.835, 0.500, 0.669), Ni at (0.493, 0.500, 0.986) and Pt at (0.167, 0.500, 0.332).

The formation energy is -0.351 eV per formula unit. For the magnetization, the calculation gives 0.00 μB/f.u. The calculation puts the energy relative to the lowest polymorph listed for this composition at 0.53 eV per formula unit. The crystal system is monoclinic.

***

No. 13
## TlZnInNiPt (PBE-GGA)

Data for a geometry-optimized TlZnInNiPt structure.

The structure belongs to space group Pm (No. 6); the cell edges are 3.432, 3.870 and 8.348 Å and the angles 90.00°, 90.11° and 90.00°. The asymmetric unit holds Tl at (0.000, 0.000, 0.000), Zn at (0.499, 0.500, 0.825), In at (0.997, 0.000, 0.367), Ni at (0.498, 0.000, 0.620) and Pt at (0.998, 0.500, 0.598).

The formation energy is 0.059 eV per formula unit. For the magnetization, the calculation gives 0.00 μB/f.u. The calculation puts the energy relative to the lowest polymorph listed for this composition at 0.94 eV per formula unit. The crystal system is monoclinic.

***

Across the entries above, final energy takes the values -6.12; -3.50; -3.82; -3.78; -3.69; -3.73; -3.80; -3.71; -3.72; -3.71; -3.71; -3.71; -3.63 eV/atom, respectively.
Across the entries above, volume takes the values 15.8; 28.1; 18.3; 19.2; 20.6; 18.5; 18.7; 20.3; 19.4; 20.0; 19.5; 18.7; 22.2 A^3/atom, respectively.